No. 1
# CsNpAgF6 PBE-GGA optimized geometry
data_CsNpAgF6
_symmetry_space_group_name_H-M 'C 1 2 1'
_symmetry_Int_Tables_number 5
_cell_length_a 6.294
_cell_length_b 11.070
_cell_length_c 6.240
_cell_angle_alpha 90.00
_cell_angle_beta 90.34
_cell_angle_gamma 90.00
loop_
_symmetry_equiv_pos_as_xyz
'x,y,z'
'-x,y,-z'
'x+1/2,y+1/2,z'
'-x+1/2,y+1/2,-z'
loop_
_atom_site_label
_atom_site_type_symbol
_atom_site_fract_x
_atom_site_fract_y
_atom_site_fract_z
_atom_site_occupancy
Cs1 Cs 0.000 0.000 0.000 1
Np1 Np 0.000 0.667 0.500 1
Ag1 Ag 0.000 0.336 0.500 1
F1 F 0.125 0.522 0.302 1
F2 F 0.153 0.804 0.303 1
F3 F 0.212 0.176 0.306 1
# ΔE_f (raw) = -271.5 kJ per mole of atoms
# Total moment = 3.000 μB per formula unit
# Theoretical density = 4.52 g cm⁻³

No. 2
# Cs8AgO2F PBE-GGA optimized geometry
data_Cs8AgO2F
_symmetry_space_group_name_H-M 'P -3 m 1'
_symmetry_Int_Tables_number 164
_symmetry_space_group_name_Hall '-P 3 2"'
_cell_length_a 8.7592
_cell_length_b 8.7592
_cell_length_c 10.3866
_cell_angle_alpha 90.00
_cell_angle_beta 90.00
_cell_angle_gamma 120.00
loop_
_atom_site_label
_atom_site_type_symbol
_atom_site_fract_x
_atom_site_fract_y
_atom_site_fract_z
_atom_site_occupancy
Cs1 Cs 0.1657 0.3313 0.3088 1
Cs2 Cs 0.3333 0.6667 0.9687 1
Ag1 Ag 0.0000 0.0000 0.0000 1
O1 O 0.3333 0.6667 0.2187 1
F1 F 0.0000 0.0000 0.5000 1
# ΔE_f (raw) = -85.8 kJ per mole of atoms
# Total moment = 0.000 μB per formula unit
# Theoretical density = 2.94 g cm⁻³

No. 3
# CsAgPF6 PBE-GGA optimized geometry
data_CsAgPF6
_symmetry_space_group_name_H-M 'P 1'
_symmetry_Int_Tables_number 1
_cell_length_a 5.296
_cell_length_b 6.270
_cell_length_c 6.283
_cell_angle_alpha 60.22
_cell_angle_beta 89.69
_cell_angle_gamma 89.73
loop_
_symmetry_equiv_pos_as_xyz
'x,y,z'
loop_
_atom_site_label
_atom_site_type_symbol
_atom_site_fract_x
_atom_site_fract_y
_atom_site_fract_z
_atom_site_occupancy
Cs1 Cs 0.000 0.000 0.000 1
Ag1 Ag 0.676 0.670 0.669 1
P1 P 0.364 0.335 0.335 1
F1 F 0.172 0.454 0.455 1
F2 F 0.190 0.453 0.086 1
F3 F 0.192 0.084 0.455 1
F4 F 0.534 0.588 0.215 1
F5 F 0.536 0.217 0.586 1
F6 F 0.555 0.216 0.215 1
# ΔE_f (raw) = -211.5 kJ per mole of atoms
# Total moment = 0.828 μB per formula unit
# Theoretical density = 3.54 g cm⁻³